Material: AlCd3Bi
Method: DFT, GGA-PBE
State: relaxed

```
AlCd3Bi
1.0
-0.7399 -5.6396 0.8930
5.6290 -0.5695 1.0675
-0.9573 1.0102 5.5868
Cd Al Bi
3 1 1
direct
0.0000 0.5000 0.0000
0.5000 0.0000 0.0000
0.0000 0.0000 0.5000
0.5000 0.5000 0.5000
0.0000 0.0000 0.0000
```

Calculated values
Total energy in Ry per atom: -0.103
V in Å³ per cell: 190.9
Energy of formation in eV per atom: 0.676
E above lowest polymorph in kJ per mole of atoms: 26.8